Entry 1:
VASP calculation (meta-GGA SCAN) on MgCdRu2 at its PBEsol-relaxed geometry.

The raw total energy comes out at -26.261 eV/atom. The value obtained for the energy of formation is 0.00 eV/atom. The value obtained for the magnetization is 0.20 μB per formula unit.

It has space group P4mm (No. 99), with a = 2.8370 Å, b = 2.8370 Å, c = 8.0124 Å, α = 90.00°, β = 90.00° and γ = 90.00°. Symmetry generates all atoms from Mg at (0.0000, 0.0000, 0.0000), Cd at (0.5000, 0.5000, 0.6949), Ru at (0.0000, 0.0000, 0.4355) and Ru at (0.5000, 0.5000, 0.2401).

=====

Entry 2:
VASP calculation (meta-GGA SCAN) on MgCdS2 at its PBEsol-relaxed geometry.

The calculation puts the formation energy without anion corrections at -1.143 eV per atom. The raw total energy comes out at -14.804 eV/atom. The value obtained for the magnetization is 0.00 μB per formula unit.

It has space group P4/mmm (No. 123), with a = 3.7590 Å, b = 3.7590 Å, c = 5.3166 Å, α = 90.00°, β = 90.00° and γ = 90.00°. Symmetry generates all atoms from Mg at (0.0000, 0.0000, 0.0000), Cd at (0.5000, 0.5000, 0.5000), S at (0.0000, 0.0000, 0.5000) and S at (0.5000, 0.5000, 0.0000).

=====

Entry 3:
VASP calculation (meta-GGA SCAN) on MgCdS2 at its PBEsol-relaxed geometry.

The calculation puts the formation energy without anion corrections at -1.205 eV per atom. The raw total energy comes out at -14.866 eV/atom. The value obtained for the magnetization is 0.00 μB per formula unit.

It has space group I-42d (No. 122), with a = 5.7373 Å, b = 5.7373 Å, c = 11.4991 Å, α = 90.00°, β = 90.00° and γ = 90.00°. Symmetry generates all atoms from Mg at (0.0000, 0.0000, 0.0000), Cd at (0.0000, 0.0000, 0.5000) and S at (0.2376, 0.2500, 0.1250).

=====

Entry 4:
VASP calculation (meta-GGA SCAN) on MgCdSb2 at its PBEsol-relaxed geometry.

The calculation puts the formation energy without anion corrections at 0.009 eV per atom. As for the energy above the most stable polymorph in this dataset: 96 meV per atom. The raw total energy comes out at -27.469 eV/atom. The value obtained for the magnetization is 0.00 μB per formula unit.

It has space group Immm (No. 71), with a = 4.2917 Å, b = 5.1248 Å, c = 8.8386 Å, α = 90.00°, β = 90.00° and γ = 90.00°. Symmetry generates all atoms from Mg at (0.0000, 0.0000, 0.0000), Cd at (0.0000, 0.0000, 0.5000) and Sb at (0.0000, 0.5000, 0.2503).

=====

Entry 5:
VASP calculation (meta-GGA SCAN) on MgCd2Sb at its PBEsol-relaxed geometry.

The calculation puts the formation energy without anion corrections at -0.051 eV per atom. The raw total energy comes out at -25.816 eV/atom. The value obtained for the magnetization is 0.00 μB per formula unit.

It has space group I-42d (No. 122), with a = 4.2179 Å, b = 4.2179 Å, c = 21.5599 Å, α = 90.00°, β = 90.00° and γ = 90.00°. Symmetry generates all atoms from Mg at (0.0000, 0.0000, 0.0000), Cd at (0.2414, 0.2500, 0.1250) and Sb at (0.0000, 0.0000, 0.5000).

=====

Entry 6:
VASP calculation (meta-GGA SCAN) on MgCdSb2 at its PBEsol-relaxed geometry.

The calculation puts the formation energy without anion corrections at -0.019 eV per atom. As for the energy above the most stable polymorph in this dataset: 68 meV per atom. The raw total energy comes out at -27.497 eV/atom. The value obtained for the magnetization is 0.00 μB per formula unit.

It has space group Imm2 (No. 44), with a = 3.9861 Å, b = 4.3901 Å, c = 11.3755 Å, α = 90.00°, β = 90.00° and γ = 90.00°. Symmetry generates all atoms from Mg at (0.0000, 0.0000, 0.0000), Cd at (0.0000, 0.5000, 0.2022), Sb at (0.0000, 0.0000, 0.4855) and Sb at (0.0000, 0.5000, 0.7767).

=====

Entry 7:
VASP calculation (meta-GGA SCAN) on MgCd2Sb at its PBEsol-relaxed geometry.

The calculation puts the formation energy without anion corrections at -0.060 eV per atom. The raw total energy comes out at -25.825 eV/atom. The value obtained for the magnetization is 0.00 μB per formula unit.

It has space group P4/mmm (No. 123), with a = 4.2917 Å, b = 4.2917 Å, c = 4.9136 Å, α = 90.00°, β = 90.00° and γ = 90.00°. Symmetry generates all atoms from Mg at (0.0000, 0.0000, 0.0000), Cd at (0.0000, 0.5000, 0.5000) and Sb at (0.5000, 0.5000, 0.0000).

=====

Entry 8:
VASP calculation (meta-GGA SCAN) on MgCd2Sb at its PBEsol-relaxed geometry.

The calculation puts the formation energy without anion corrections at -0.029 eV per atom. The raw total energy comes out at -25.795 eV/atom. The value obtained for the magnetization is 0.00 μB per formula unit.

It has space group Cm (No. 8), with a = 9.9479 Å, b = 3.4098 Å, c = 5.4859 Å, α = 90.00°, β = 99.98° and γ = 90.00°. Symmetry generates all atoms from Mg at (0.0000, 0.0000, 0.0000), Cd at (0.0063, 0.5000, 0.5338), Cd at (0.2530, 0.0000, 0.7339) and Sb at (0.2444, 0.5000, 0.2294).

=====

Entry 9:
VASP calculation (meta-GGA SCAN) on Mg2CdSb at its PBEsol-relaxed geometry.

The calculation puts the formation energy without anion corrections at -0.155 eV per atom. As for the energy above the most stable polymorph in this dataset: 13 meV per atom. The raw total energy comes out at -19.561 eV/atom. The value obtained for the magnetization is 0.00 μB per formula unit.

It has space group I4/mmm (No. 139), with a = 4.5492 Å, b = 4.5492 Å, c = 8.6249 Å, α = 90.00°, β = 90.00° and γ = 90.00°. Symmetry generates all atoms from Mg at (0.0000, 0.5000, 0.2500), Cd at (0.0000, 0.0000, 0.0000) and Sb at (0.0000, 0.0000, 0.5000).

=====

Entry 10:
VASP calculation (meta-GGA SCAN) on MgCd2Sb at its PBEsol-relaxed geometry.

The calculation puts the formation energy without anion corrections at -0.041 eV per atom. The raw total energy comes out at -25.807 eV/atom. The value obtained for the magnetization is 0.00 μB per formula unit.

It has space group I-4m2 (No. 119), with a = 4.3951 Å, b = 4.3951 Å, c = 9.4293 Å, α = 90.00°, β = 90.00° and γ = 90.00°. Symmetry generates all atoms from Mg at (0.0000, 0.0000, 0.0000), Cd at (0.0000, 0.0000, 0.5000), Cd at (0.0000, 0.5000, 0.2500) and Sb at (0.0000, 0.5000, 0.7500).

=====

Entry 11:
VASP calculation (meta-GGA SCAN) on MgCd2Sb at its PBEsol-relaxed geometry.

The calculation puts the formation energy without anion corrections at -0.049 eV per atom. The raw total energy comes out at -25.815 eV/atom. The value obtained for the magnetization is 0.00 μB per formula unit.

It has space group I4/mmm (No. 139), with a = 4.2971 Å, b = 4.2971 Å, c = 9.8180 Å, α = 90.00°, β = 90.00° and γ = 90.00°. Symmetry generates all atoms from Mg at (0.0000, 0.0000, 0.0000), Cd at (0.0000, 0.5000, 0.2500) and Sb at (0.0000, 0.0000, 0.5000).

=====

Entry 12:
VASP calculation (meta-GGA SCAN) on MgCd2Sb at its PBEsol-relaxed geometry.

The calculation puts the formation energy without anion corrections at -0.025 eV per atom. The raw total energy comes out at -25.791 eV/atom. The value obtained for the magnetization is 0.00 μB per formula unit.

It has space group P2/m (No. 10), with a = 3.4749 Å, b = 5.5448 Å, c = 4.8453 Å, α = 90.00°, β = 90.46° and γ = 90.00°. Symmetry generates all atoms from Mg at (0.0000, 0.0000, 0.0000), Cd at (0.2512, 0.5000, 0.2464) and Sb at (0.5000, 0.0000, 0.5000).